First-principles (PBE) data for a geometry-optimized Tc3P structure, as listed in Alexandria via LeMat-Bulk.

extended XYZ file:
```
4
Lattice="8.233 -1.403 0.002 8.233 1.403 0.002 7.994 0.000 2.419" Properties=species:S:1:pos:R:3 pbc="T T T"
Tc 6.263 0.000 0.620
Tc 18.197 0.000 1.802
Tc 12.230 0.000 1.211
P 0.000 0.000 0.000
```

Relative energy among the computed polymorphs, meV per atom: 264
E_form, eV per atom: -0.08



First-principles (PBE) data for a geometry-optimized CePmGaRh structure, as listed in Alexandria via LeMat-Bulk.

extended XYZ file:
```
4
Lattice="-1.835 -2.417 -2.963 3.165 -2.210 -0.158 -1.261 -2.209 5.618" Properties=species:S:1:pos:R:3 pbc="T T T"
Rh -1.786 -2.801 3.391
Ga 0.362 -2.788 -0.985
Pm -0.654 -1.026 1.242
Ce -0.949 -4.845 1.504
```

Relative energy among the computed polymorphs, meV per atom: 0
E_form, eV per atom: -0.67



First-principles (PBE) data for a geometry-optimized Pu2SbP structure, as listed in Alexandria via LeMat-Bulk.

extended XYZ file:
```
8
Lattice="-0.308 1.959 -3.509 3.836 -6.613 -1.713 -5.688 -2.996 -1.173" Properties=species:S:1:pos:R:3 pbc="T T T"
Sb 2.033 -5.290 -5.446
Sb -4.192 -2.360 -0.950
P 0.230 -3.277 -1.849
P -2.390 -4.373 -4.547
Pu -0.244 -5.665 -3.141
Pu 0.745 -0.584 -2.706
Pu -1.916 -1.985 -3.255
Pu -2.905 -7.066 -3.690
```

Formation energy (no corrections), kJ/mol of formula units: -307



First-principles (PBE) data for a geometry-optimized Cs3Zn2AgCl8 structure, as listed in Alexandria via LeMat-Bulk.

extended XYZ file:
```
14
Lattice="-1.407 -3.622 -6.329 -3.193 -2.209 6.331 -7.468 5.892 -1.711" Properties=species:S:1:pos:R:3 pbc="T T T"
Ag -3.734 2.946 -0.856
Cl -10.014 3.171 0.412
Cl -8.376 -0.467 -2.228
Cl -6.096 2.424 -2.229
Cl -3.692 0.528 0.519
Cl -2.054 -3.110 -2.121
Cl -5.275 -0.567 3.657
Cl -6.793 0.628 -5.367
Cl -5.973 -2.363 0.519
Cs -4.687 -1.033 -2.724
Cs 0.000 0.000 0.000
Cs -7.382 1.094 1.015
Zn -4.265 -1.364 1.729
Zn -7.803 1.425 -3.438
```

Formation energy (no corrections), kJ/mol of formula units: -1964